No. 1
# PrSm2Co | Alexandria | PBE | relaxed
# Energy relative to the lowest polymorph listed for this composition   0 meV per atom
# Raw total energy   -5.41 eV/atom
# Crystal system   orthorhombic
# E_form   -0.080 eV per atom
data_PrSm2Co
_chemical_formula_sum 'Pr4 Sm8 Co4'
_cell_length_a 7.0765
_cell_length_b 9.7853
_cell_length_c 6.4460
_cell_angle_alpha 90.00
_cell_angle_beta 90.00
_cell_angle_gamma 90.00
_space_group_name_H-M_alt 'P n m a'
_space_group_IT_number 62
_space_group_name_Hall '-P 2ac 2n'
loop_
_atom_site_label
_atom_site_fract_x
_atom_site_fract_y
_atom_site_fract_z
Pr1 0.0454 0.2500 0.1429
Sm1 0.1695 0.0698 0.6760
Co1 0.1148 0.7500 0.4347

No. 2
# Pr3SmCo | Alexandria | PBE | relaxed
# Energy relative to the lowest polymorph listed for this composition   0 meV per atom
# Raw total energy   -5.20 eV/atom
# Crystal system   orthorhombic
# E_form   0.028 eV per atom
data_Pr3SmCo
_chemical_formula_sum 'Pr6 Sm2 Co2'
_cell_length_a 7.7158
_cell_length_b 6.5529
_cell_length_c 6.3520
_cell_angle_alpha 90.00
_cell_angle_beta 90.00
_cell_angle_gamma 90.00
_space_group_name_H-M_alt 'P m n 21'
_space_group_IT_number 31
_space_group_name_Hall 'P 2ac -2'
loop_
_atom_site_label
_atom_site_fract_x
_atom_site_fract_y
_atom_site_fract_z
Pr1 0.0000 0.1541 0.0000
Pr2 0.2491 0.3257 0.5015
Sm1 0.0000 0.8395 0.5015
Co1 0.0000 0.5027 0.2514

No. 3
# PrSm2Co6 | Alexandria | PBE | relaxed
# Raw total energy   -6.41 eV/atom
# Crystal system   hexagonal
# E_form   -0.091 eV per atom
data_PrSm2Co6
_chemical_formula_sum 'Pr1 Sm2 Co6'
_cell_length_a 6.7373
_cell_length_b 6.7373
_cell_length_c 4.1946
_cell_angle_alpha 90.00
_cell_angle_beta 90.00
_cell_angle_gamma 120.00
_space_group_name_H-M_alt 'P 6/m m m'
_space_group_IT_number 191
_space_group_name_Hall '-P 6 2'
loop_
_atom_site_label
_atom_site_fract_x
_atom_site_fract_y
_atom_site_fract_z
Pr1 0.0000 0.0000 0.0000
Sm1 0.3333 0.6667 0.0000
Co1 0.0000 0.3345 0.5000

No. 4
# Pr2SmCo3 | Alexandria | PBE | relaxed
# Raw total energy   -5.99 eV/atom
# Crystal system   orthorhombic
# E_form   -0.057 eV per atom
data_Pr2SmCo3
_chemical_formula_sum 'Pr8 Sm4 Co12'
_cell_length_a 14.1666
_cell_length_b 8.1675
_cell_length_c 4.6168
_cell_angle_alpha 90.00
_cell_angle_beta 90.00
_cell_angle_gamma 90.00
_space_group_name_H-M_alt 'C m c m'
_space_group_IT_number 63
_space_group_name_Hall '-C 2c 2'
loop_
_atom_site_label
_atom_site_fract_x
_atom_site_fract_y
_atom_site_fract_z
Pr1 0.1655 0.1679 0.2500
Sm1 0.0000 0.3357 0.7500
Co1 0.0000 0.0000 0.0000
Co2 0.1644 0.5000 0.0000

No. 5
# Pr2SmCo2 | Alexandria | PBE | relaxed
# Energy relative to the lowest polymorph listed for this composition   0 meV per atom
# Raw total energy   -5.71 eV/atom
# Crystal system   monoclinic
# E_form   -0.011 eV per atom
data_Pr2SmCo2
_chemical_formula_sum 'Pr8 Sm4 Co8'
_cell_length_a 12.7626
_cell_length_b 3.9527
_cell_length_c 11.2741
_cell_angle_alpha 90.00
_cell_angle_beta 121.18
_cell_angle_gamma 90.00
_space_group_name_H-M_alt 'C 1 2/m 1'
_space_group_IT_number 12
_space_group_name_Hall '-C 2y'
loop_
_atom_site_label
_atom_site_fract_x
_atom_site_fract_y
_atom_site_fract_z
Pr1 0.0331 0.0000 0.1934
Pr2 0.1651 0.0000 0.5719
Sm1 0.2164 0.5000 0.8608
Co1 0.0131 0.5000 0.3991
Co2 0.1030 0.5000 0.0415

No. 6
# Pr2Sm2Co | Alexandria | PBE | relaxed
# Raw total energy   -5.23 eV/atom
# Crystal system   monoclinic
# E_form   -0.009 eV per atom
data_Pr2Sm2Co
_chemical_formula_sum 'Pr8 Sm8 Co4'
_cell_length_a 7.4983
_cell_length_b 11.9039
_cell_length_c 7.3871
_cell_angle_alpha 90.00
_cell_angle_beta 112.75
_cell_angle_gamma 90.00
_space_group_name_H-M_alt 'C 1 2/m 1'
_space_group_IT_number 12
_space_group_name_Hall '-C 2y'
loop_
_atom_site_label
_atom_site_fract_x
_atom_site_fract_y
_atom_site_fract_z
Pr1 0.2252 0.0000 0.4076
Pr2 0.2456 0.5000 0.0907
Sm1 0.0516 0.2710 0.7588
Co1 0.0000 0.1239 0.0000

No. 7
# PrSmCo10 | Alexandria | PBE | relaxed
# Raw total energy   -6.75 eV/atom
# Crystal system   orthorhombic
# E_form   -0.039 eV per atom
data_PrSmCo10
_chemical_formula_sum 'Pr1 Sm1 Co10'
_cell_length_a 3.9419
_cell_length_b 5.0024
_cell_length_c 8.6835
_cell_angle_alpha 90.00
_cell_angle_beta 90.00
_cell_angle_gamma 90.00
_space_group_name_H-M_alt 'P m m m'
_space_group_IT_number 47
_space_group_name_Hall '-P 2 2'
loop_
_atom_site_label
_atom_site_fract_x
_atom_site_fract_y
_atom_site_fract_z
Pr1 0.0000 0.0000 0.0000
Sm1 0.0000 0.5000 0.5000
Co1 0.0000 0.0000 0.3358
Co2 0.0000 0.5000 0.1710
Co3 0.5000 0.0000 0.5000
Co4 0.5000 0.2518 0.2526
Co5 0.5000 0.5000 0.0000

No. 8
# PrSm2Co | Alexandria | PBE | relaxed
# Energy relative to the lowest polymorph listed for this composition   22 meV per atom
# Raw total energy   -5.39 eV/atom
# Crystal system   orthorhombic
# E_form   -0.058 eV per atom
data_PrSm2Co
_chemical_formula_sum 'Pr4 Sm8 Co4'
_cell_length_a 3.7387
_cell_length_b 12.2193
_cell_length_c 9.8200
_cell_angle_alpha 90.00
_cell_angle_beta 90.00
_cell_angle_gamma 90.00
_space_group_name_H-M_alt 'C m c m'
_space_group_IT_number 63
_space_group_name_Hall '-C 2c 2'
loop_
_atom_site_label
_atom_site_fract_x
_atom_site_fract_y
_atom_site_fract_z
Pr1 0.0000 0.0876 0.2500
Sm1 0.0000 0.3594 0.0737
Co1 0.0000 0.2379 0.7500

- The highest E_form belongs to which entry?
  Pr3SmCo

- Which value of E_form does entry 4 give?
  -0.057 eV per atom